Entry 1:
This record from the Alexandria database describes a relaxed Hf2Al5Fe2Au crystal. The functional is PBE.

a = 3.998 Å, b = 8.905 Å, c = 8.905 Å
α = 90.00°, β = 90.00°, γ = 90.00°
Atoms (fractional coordinates):
Al 0.500 0.000 0.500
Al 0.500 0.714 0.430
Al 0.500 0.786 0.930
Al 0.500 0.214 0.070
Al 0.500 0.930 0.214
Al 0.500 0.430 0.286
Al 0.500 0.070 0.786
Al 0.500 0.286 0.570
Al 0.500 0.500 0.000
Al 0.500 0.570 0.714
Fe 0.000 0.885 0.385
Fe 0.000 0.615 0.885
Fe 0.000 0.385 0.115
Fe 0.000 0.115 0.615
Hf 0.000 0.325 0.825
Hf 0.000 0.825 0.675
Hf 0.000 0.175 0.325
Hf 0.000 0.675 0.175
Au 0.000 0.000 0.000
Au 0.000 0.500 0.500

ρ, kg/m³: 8385
E, eV per atom: -6.245
Space group: P4/mbm (127)
E_form, meV/atom: -363.2

---

Entry 2:
This record from the Alexandria database describes a relaxed La2AlFeAu crystal. The functional is PBE.

a = 5.186 Å, b = 5.186 Å, c = 4.652 Å
α = 90.00°, β = 90.00°, γ = 90.00°
Atoms (fractional coordinates):
Fe 0.000 0.000 0.000
Au 0.500 0.500 0.500
La 0.500 0.000 0.000
La 0.000 0.500 0.000
Al 0.000 0.000 0.500

ρ, kg/m³: 7401
E, eV per atom: -5.401
Space group: P4/mmm (123)
E_form, meV/atom: -333.0

---

Entry 3:
This record from the Alexandria database describes a relaxed AlFeMoAu2 crystal. The functional is PBE.

a = 4.741 Å, b = 4.408 Å, c = 4.741 Å
α = 90.00°, β = 90.00°, γ = 90.00°
Each line ends with the local moment (μB).
Atoms (fractional coordinates):
Al 0.000 0.500 0.000  -0.08
Fe 0.000 0.000 0.000  2.18
Mo 0.500 0.500 0.500  2.83
Au 0.000 0.000 0.500  0.10
Au 0.500 0.000 0.000  0.06

ρ, kg/m³: 9596
E, eV per atom: -4.925
Space group: P4/mmm (123)
E_form, meV/atom: 993.0

---

Entry 4:
This record from the Alexandria database describes a relaxed Nb2AlFeAu crystal. The functional is PBE.

a = 4.478 Å, b = 4.839 Å, c = 4.478 Å
α = 90.00°, β = 90.00°, γ = 90.00°
Atoms (fractional coordinates):
Nb 0.000 0.000 0.500
Nb 0.500 0.000 0.000
Au 0.000 0.500 0.000
Fe 0.000 0.000 0.000
Al 0.500 0.500 0.500

ρ, kg/m³: 7967
E, eV per atom: -6.490
Space group: P4/mmm (123)
E_form, meV/atom: 634.7

---

Question: What is the E in the second record?
Answer: -5.401 eV per atom